Computed, not measured: crystalline CaRh3C at its relaxed geometry at the PBE-GGA level of DFT.

Unit cell a=5.762 b=5.801 c=5.070 alpha=90.00 beta=119.82 gamma=90.00
Space group Cm (No. 8)
Symmetry-distinct sites (fractional):
Ca1 0.000 0.000 0.000 [2 per cell]
Rh1 0.016 0.262 0.495 [4 per cell]
Rh2 0.470 0.000 0.952 [2 per cell]
C1 0.236 0.500 0.383 [2 per cell]

Calculated values
Calculated formation energy ... -0.14 eV/atom
Fermi-level density of states ... 0.987 states/eV/atom

=====

Computed, not measured: crystalline CaRh3C at its relaxed geometry at the PBE-GGA level of DFT.

Unit cell a=5.033 b=5.587 c=6.111 alpha=96.25 beta=101.53 gamma=113.88
Space group P1 (No. 1)
Symmetry-distinct sites (fractional):
Ca1 0.000 0.000 0.000 [1 per cell]
Ca2 0.276 0.267 0.539 [1 per cell]
Rh1 0.157 0.652 0.285 [1 per cell]
Rh2 0.385 0.858 0.750 [1 per cell]
Rh3 0.497 0.523 0.042 [1 per cell]
Rh4 0.643 0.147 0.260 [1 per cell]
Rh5 0.741 0.769 0.495 [1 per cell]
Rh6 0.909 0.441 0.809 [1 per cell]
C1 0.573 0.214 0.943 [1 per cell]
C2 0.895 0.500 0.488 [1 per cell]

Calculated values
Calculated formation energy ... -0.16 eV/atom
Fermi-level density of states ... 0.522 states/eV/atom

=====

Computed, not measured: crystalline CaRh3C at its relaxed geometry at the PBE-GGA level of DFT.

Unit cell a=2.957 b=5.311 c=13.865 alpha=90.00 beta=90.00 gamma=90.00
Space group Amm2 (No. 38)
Symmetry-distinct sites (fractional):
Ca1 0.000 0.000 0.000 [2 per cell]
Rh1 0.000 0.242 0.186 [4 per cell]
Rh2 0.500 0.000 0.827 [2 per cell]
C1 0.500 0.000 0.679 [2 per cell]

Calculated values
Calculated formation energy ... 0.57 eV/atom
Fermi-level density of states ... 1.017 states/eV/atom

=====

Computed, not measured: crystalline CaRh3C at its relaxed geometry at the PBE-GGA level of DFT.

Unit cell a=5.093 b=5.790 c=5.545 alpha=90.00 beta=115.58 gamma=90.00
Space group P2_1/m (No. 11)
Symmetry-distinct sites (fractional):
Ca1 0.218 0.250 0.222 [2 per cell]
Rh1 0.256 0.750 0.304 [2 per cell]
Rh2 0.264 0.009 0.749 [4 per cell]
C1 0.404 0.750 0.031 [2 per cell]

Calculated values
Calculated formation energy ... -0.14 eV/atom
Fermi-level density of states ... 0.798 states/eV/atom

=====

Computed, not measured: crystalline CaRh3C at its relaxed geometry at the PBE-GGA level of DFT.

Unit cell a=7.5490 b=7.5490 c=9.9303 alpha=90.00 beta=90.00 gamma=120.00
Space group R-3c (No. 167, hexagonal axes)
Symmetry-distinct sites (fractional):
Ca1 0.0000 0.0000 0.0000 [6 per cell]
Rh1 0.0000 0.2473 0.2500 [18 per cell]
C1 0.0000 0.0000 0.2500 [6 per cell]

Calculated values
Calculated formation energy ... 0.16 eV/atom
Fermi-level density of states ... 0.948 states/eV/atom

=====

Computed, not measured: crystalline CaRh3C at its relaxed geometry at the PBE-GGA level of DFT.

Unit cell a=5.0135 b=5.0135 c=22.1519 alpha=90.00 beta=90.00 gamma=120.00
Space group R-3 (No. 148, hexagonal axes)
Symmetry-distinct sites (fractional):
Ca1 0.0000 0.0000 0.1667 [6 per cell]
Rh1 0.0001 0.3321 0.7217 [18 per cell]
C1 0.0000 0.0000 0.3334 [6 per cell]

Calculated values
Calculated formation energy ... 0.19 eV/atom
Fermi-level density of states ... 0.716 states/eV/atom

=====

Computed, not measured: crystalline CaRh3C at its relaxed geometry at the PBE-GGA level of DFT.

Unit cell a=10.300 b=5.743 c=5.463 alpha=90.00 beta=113.44 gamma=90.00
Space group Cm (No. 8)
Symmetry-distinct sites (fractional):
Ca1 0.000 0.000 0.000 [2 per cell]
Ca2 0.236 0.500 0.445 [2 per cell]
Rh1 0.246 0.242 0.971 [4 per cell]
Rh2 0.256 0.000 0.470 [2 per cell]
Rh3 0.496 0.243 0.484 [4 per cell]
Rh4 0.499 0.000 0.930 [2 per cell]
C1 0.140 0.000 0.676 [2 per cell]
C2 0.405 0.000 0.175 [2 per cell]

Calculated values
Calculated formation energy ... -0.14 eV/atom
Fermi-level density of states ... 0.706 states/eV/atom

=====

Computed, not measured: crystalline CaRhC2 at its relaxed geometry at the PBE-GGA level of DFT.

Unit cell a=5.257 b=5.257 c=9.327 alpha=90.00 beta=90.00 gamma=90.00
Space group I-42d (No. 122)
Symmetry-distinct sites (fractional):
Ca1 0.000 0.000 0.000 [4 per cell]
Rh1 0.000 0.000 0.500 [4 per cell]
C1 0.156 0.250 0.625 [8 per cell]

Calculated values
Calculated formation energy ... 0.64 eV/atom
Fermi-level density of states ... 0.368 states/eV/atom

=====

Computed, not measured: crystalline CaRh3C at its relaxed geometry at the PBE-GGA level of DFT.

Unit cell a=5.179 b=5.342 c=6.503 alpha=104.13 beta=103.25 gamma=114.41
Space group P1 (No. 1)
Symmetry-distinct sites (fractional):
Ca1 0.000 0.000 0.000 [1 per cell]
Ca2 0.270 0.269 0.540 [1 per cell]
Rh1 0.153 0.630 0.270 [1 per cell]
Rh2 0.386 0.892 0.761 [1 per cell]
Rh3 0.546 0.490 0.039 [1 per cell]
Rh4 0.644 0.122 0.270 [1 per cell]
Rh5 0.777 0.721 0.501 [1 per cell]
Rh6 0.896 0.402 0.780 [1 per cell]
C1 0.331 0.711 0.012 [1 per cell]
C2 0.591 0.970 0.530 [1 per cell]

Calculated values
Calculated formation energy ... -0.15 eV/atom
Fermi-level density of states ... 0.651 states/eV/atom

=====

Computed, not measured: crystalline CaRh3C at its relaxed geometry at the PBE-GGA level of DFT.

Unit cell a=3.4388 b=3.4388 c=16.7020 alpha=90.00 beta=90.00 gamma=120.00
Space group P6_3/mmc (No. 194)
Symmetry-distinct sites (fractional):
Ca1 0.0000 0.0000 0.0000 [2 per cell]
Rh1 0.0000 0.0000 0.2500 [2 per cell]
Rh2 0.3333 0.6667 0.1306 [4 per cell]
C1 0.3333 0.6667 0.2500 [2 per cell]

Calculated values
Calculated formation energy ... 0.37 eV/atom
Fermi-level density of states ... 0.971 states/eV/atom

=====

Computed, not measured: crystalline CaRh3C at its relaxed geometry at the PBE-GGA level of DFT.

Unit cell a=17.550 b=2.960 c=6.648 alpha=90.00 beta=101.18 gamma=90.00
Space group C2/m (No. 12)
Symmetry-distinct sites (fractional):
Ca1 0.103 0.000 0.285 [4 per cell]
Rh1 0.059 0.000 0.662 [4 per cell]
Rh2 0.183 0.000 0.970 [4 per cell]
Rh3 0.222 0.500 0.637 [4 per cell]
C1 0.129 0.500 0.783 [4 per cell]

Calculated values
Calculated formation energy ... 0.12 eV/atom
Fermi-level density of states ... 0.691 states/eV/atom

=====

Computed, not measured: crystalline CaRh3C at its relaxed geometry at the PBE-GGA level of DFT.

Unit cell a=5.260 b=7.106 c=8.259 alpha=90.00 beta=90.00 gamma=90.00
Space group Pnma (No. 62)
Symmetry-distinct sites (fractional):
Ca1 0.000 0.000 0.000 [4 per cell]
Rh1 0.000 0.070 0.349 [8 per cell]
Rh2 0.250 0.250 0.750 [4 per cell]
C1 0.001 0.250 0.541 [4 per cell]

Calculated values
Calculated formation energy ... 0.06 eV/atom
Fermi-level density of states ... 0.657 states/eV/atom